[1]
BaZn2ReOs after structural relaxation. Source: the Alexandria database, functional PBE.

The structure belongs to space group P4/mmm (No. 123); the cell edges are 4.929, 4.929 and 5.694 Å and the angles 90.00°, 90.00° and 90.00°. The distinct sites, in fractional coordinates, are Ba at (0.000, 0.000, 0.000), Zn at (0.000, 0.500, 0.500), Re at (0.000, 0.000, 0.500) and Os at (0.500, 0.500, 0.000).



[2]
BaZrRe2Os after structural relaxation. Source: the Alexandria database, functional PBE.

The structure belongs to space group P4/mmm (No. 123); the cell edges are 4.825, 4.825 and 5.359 Å and the angles 90.00°, 90.00° and 90.00°. The distinct sites, in fractional coordinates, are Ba at (0.000, 0.000, 0.000), Zr at (0.500, 0.500, 0.000), Re at (0.000, 0.500, 0.500) and Os at (0.000, 0.000, 0.500).



no.,mass density (g cm⁻³),ΔH_f (0 K) (eV/atom)
1,7.7,1.803
2,10.5,1.752